PmInSi2Pt5 (PBE, optimized geometry); crystal system = tetragonal; theoretical density = 11785 kg/m3; calculated volume = 182.0 Å³/f.u.; DOS(E_F) = 0.4963 states/eV per atom; space group = P4/mmm (123); formation energy (no corrections) = -708 meV/atom; total DFT energy (no corrections) = -6.10 eV/atom
1.0
4.077 0.000 0.000
0.000 4.077 0.000
0.000 0.000 10.946
Pm In Si Pt
1 1 2 5
direct
0.000 0.000 0.500 Pm
0.000 0.000 0.000 In
0.500 0.500 0.286 Si
0.500 0.500 0.714 Si
0.000 0.500 0.176 Pt
0.500 0.000 0.176 Pt
0.000 0.500 0.824 Pt
0.500 0.000 0.824 Pt
0.500 0.500 0.500 Pt


Pm3In2Si2Pt4 (PBE, optimized geometry); crystal system = trigonal; theoretical density = 10377 kg/m3; calculated volume = 240.2 Å³/f.u.; DOS(E_F) = 0.6446 states/eV per atom; space group = P-3m1 (164); formation energy (no corrections) = -938 meV/atom; total DFT energy (no corrections) = -5.91 eV/atom
1.0
4.411 0.000 0.000
-2.205 3.820 0.000
0.000 0.000 14.257
Pm In Si Pt
3 2 2 4
direct
0.000 0.000 0.738 Pm
0.000 0.000 0.000 Pm
0.000 0.000 0.262 Pm
0.667 0.333 0.438 In
0.333 0.667 0.562 In
0.667 0.333 0.855 Si
0.333 0.667 0.145 Si
0.667 0.333 0.129 Pt
0.333 0.667 0.871 Pt
0.667 0.333 0.638 Pt
0.333 0.667 0.362 Pt


PmInSnPt (PBE, optimized geometry); calculated formation energy = -0.53 eV per atom; crystal system = cubic; theoretical density = 10182 kg/m3; calculated volume = 93.5 Å³/f.u.; DOS(E_F) = 0.3635 states/eV per atom; space group = F-43m (216); total DFT energy (no corrections) = -4.92 eV/atom
1.0
5.095 0.000 0.000
2.548 4.413 0.000
2.548 1.471 4.160
In Sn Pt Pm
1 1 1 1
direct
0.500 0.500 0.500 In
0.250 0.250 0.250 Sn
0.750 0.750 0.750 Pt
0.000 0.000 0.000 Pm


SrPmInPt (PBE, optimized geometry); calculated formation energy = -0.55 eV per atom; crystal system = cubic; theoretical density = 8352 kg/m3; calculated volume = 107.9 Å³/f.u.; DOS(E_F) = 0.7584 states/eV per atom; space group = F-43m (216); total DFT energy (no corrections) = -4.36 eV/atom
1.0
5.343 0.000 0.000
2.672 4.627 0.000
2.672 1.542 4.363
Sr In Pt Pm
1 1 1 1
direct
0.500 0.500 0.500 Sr
0.750 0.750 0.750 In
0.250 0.250 0.250 Pt
0.000 0.000 0.000 Pm